# LiTm2Mg9

A geometry-optimized LiTm2Mg9 structure (GGA-PBE, the Alexandria database).

```
data_LiTm2Mg9
_chemical_formula_sum 'Li1 Tm2 Mg9'
_symmetry_space_group_name_H-M 'P 4/m m m'
_symmetry_Int_Tables_number 123
_symmetry_space_group_name_Hall '-P 4 2'
_cell_length_a 4.6140
_cell_length_b 4.6140
_cell_length_c 13.5106
_cell_angle_alpha 90.00
_cell_angle_beta 90.00
_cell_angle_gamma 90.00
loop_
_atom_site_label
_atom_site_type_symbol
_atom_site_fract_x
_atom_site_fract_y
_atom_site_fract_z
Li1 Li 0.0000 0.0000 0.0000
Tm1 Tm 0.0000 0.0000 0.3264
Mg1 Mg 0.0000 0.5000 0.1547
Mg2 Mg 0.0000 0.5000 0.5000
Mg3 Mg 0.5000 0.5000 0.0000
Mg4 Mg 0.5000 0.5000 0.3216
```

Values from the calculation:
Formation energy ... -0.040 eV per atom
Magnetic moment ... 0.0 μB/f.u.

=====

# Pu2ZrTl3Se6

A geometry-optimized Pu2ZrTl3Se6 structure (GGA-PBE, the Alexandria database).

```
data_Pu2ZrTl3Se6
_chemical_formula_sum 'Pu4 Zr2 Tl6 Se12'
_symmetry_space_group_name_H-M 'C 1 2/m 1'
_symmetry_Int_Tables_number 12
_symmetry_space_group_name_Hall '-C 2y'
_cell_length_a 7.1764
_cell_length_b 12.4018
_cell_length_c 8.1217
_cell_angle_alpha 90.00
_cell_angle_beta 107.05
_cell_angle_gamma 90.00
loop_
_atom_site_label
_atom_site_type_symbol
_atom_site_fract_x
_atom_site_fract_y
_atom_site_fract_z
Pu1 Pu 0.0000 0.1660 0.0000
Zr1 Zr 0.0000 0.5000 0.0000
Tl1 Tl 0.0000 0.0000 0.5000
Tl2 Tl 0.0000 0.3294 0.5000
Se1 Se 0.2253 0.3418 0.2017
Se2 Se 0.2473 0.5000 0.7937
```

Values from the calculation:
Magnetic moment ... 11.0 μB/f.u.
Formation energy without anion corrections ... -24.876 kcal/mol of atoms

=====

# Ba3HgN

A geometry-optimized Ba3HgN structure (GGA-PBE, the Alexandria database).

```
data_Ba3HgN
_chemical_formula_sum 'Ba3 Hg1 N1'
_symmetry_space_group_name_H-M 'P m -3 m'
_symmetry_Int_Tables_number 221
_symmetry_space_group_name_Hall '-P 4 2 3'
_cell_length_a 5.6326
_cell_length_b 5.6326
_cell_length_c 5.6326
_cell_angle_alpha 90.00
_cell_angle_beta 90.00
_cell_angle_gamma 90.00
loop_
_atom_site_label
_atom_site_type_symbol
_atom_site_fract_x
_atom_site_fract_y
_atom_site_fract_z
Ba1 Ba 0.0000 0.0000 0.5000
Hg1 Hg 0.5000 0.5000 0.5000
N1 N 0.0000 0.0000 0.0000
```

Values from the calculation:
Energy relative to the lowest polymorph listed for this composition ... 37 meV per atom
Magnetic moment ... 0.0 μB/f.u.
Formation energy without anion corrections ... -7.826 kcal/mol of atoms

=====

# Re4OsSe

A geometry-optimized Re4OsSe structure (GGA-PBE, the Alexandria database).

```
data_Re4OsSe
_chemical_formula_sum 'Re16 Os4 Se4'
_symmetry_space_group_name_H-M 'F -4 3 m'
_symmetry_Int_Tables_number 216
_symmetry_space_group_name_Hall 'F -4 2 3'
_cell_length_a 7.3248
_cell_length_b 7.3248
_cell_length_c 7.3248
_cell_angle_alpha 90.00
_cell_angle_beta 90.00
_cell_angle_gamma 90.00
loop_
_atom_site_label
_atom_site_type_symbol
_atom_site_fract_x
_atom_site_fract_y
_atom_site_fract_z
Re1 Re 0.1249 0.1249 0.1249
Os1 Os 0.0000 0.0000 0.5000
Se1 Se 0.2500 0.2500 0.7500
```

Values from the calculation:
Magnetic moment ... 0.0 μB/f.u.
Formation energy without anion corrections ... 22.401 kcal/mol of atoms

=====

# Zn2SbTe

A geometry-optimized Zn2SbTe structure (GGA-PBE, the Alexandria database).

```
data_Zn2SbTe
_chemical_formula_sum 'Zn6 Sb3 Te3'
_symmetry_space_group_name_H-M 'R 3 m'
_symmetry_Int_Tables_number 160
_symmetry_space_group_name_Hall 'R 3 -2"'
_cell_length_a 3.3327
_cell_length_b 3.3327
_cell_length_c 30.5710
_cell_angle_alpha 90.00
_cell_angle_beta 90.00
_cell_angle_gamma 120.00
loop_
_atom_site_label
_atom_site_type_symbol
_atom_site_fract_x
_atom_site_fract_y
_atom_site_fract_z
Zn1 Zn 0.0000 0.0000 0.0000
Zn2 Zn 0.0000 0.0000 0.2741
Sb1 Sb 0.0000 0.0000 0.7369
Te1 Te 0.0000 0.0000 0.5329
```

Values from the calculation:
Magnetic moment ... 0.0 μB/f.u.
Formation energy without anion corrections ... 3.746 kcal/mol of atoms

=====

# HfGaH2O

A geometry-optimized HfGaH2O structure (GGA-PBE, the Alexandria database).

```
data_HfGaH2O
_chemical_formula_sum 'Hf1 Ga1 H2 O1'
_symmetry_space_group_name_H-M 'P 4/m m m'
_symmetry_Int_Tables_number 123
_symmetry_space_group_name_Hall '-P 4 2'
_cell_length_a 3.1925
_cell_length_b 3.1925
_cell_length_c 5.8934
_cell_angle_alpha 90.00
_cell_angle_beta 90.00
_cell_angle_gamma 90.00
loop_
_atom_site_label
_atom_site_type_symbol
_atom_site_fract_x
_atom_site_fract_y
_atom_site_fract_z
Hf1 Hf 0.0000 0.0000 0.0000
Ga1 Ga 0.0000 0.0000 0.5000
H1 H 0.0000 0.5000 0.5000
O1 O 0.5000 0.5000 0.0000
```

Values from the calculation:
Raw total energy ... -5.477 eV/atom
Magnetic moment ... 0.0 μB/f.u.

=====

# CeEr6Th2

A geometry-optimized CeEr6Th2 structure (GGA-PBE, the Alexandria database).

```
data_CeEr6Th2
_chemical_formula_sum 'Ce4 Er24 Th8'
_symmetry_space_group_name_H-M 'C 1 2/c 1'
_symmetry_Int_Tables_number 15
_symmetry_space_group_name_Hall '-C 2yc'
_cell_length_a 12.0030
_cell_length_b 15.5070
_cell_length_c 6.0546
_cell_angle_alpha 90.00
_cell_angle_beta 91.19
_cell_angle_gamma 90.00
loop_
_atom_site_label
_atom_site_type_symbol
_atom_site_fract_x
_atom_site_fract_y
_atom_site_fract_z
Ce1 Ce 0.0000 0.0258 0.2500
Er1 Er 0.0762 0.3990 0.9928
Er2 Er 0.1143 0.2554 0.4299
Er3 Er 0.1452 0.1648 0.9247
Th1 Th 0.2417 0.0567 0.4588
```

Values from the calculation:
Formation energy ... 0.149 eV per atom
Magnetic moment ... 0.4 μB/f.u.

=====

# ZrTiH

A geometry-optimized ZrTiH structure (GGA-PBE, the Alexandria database).

```
data_ZrTiH
_chemical_formula_sum 'Zr4 Ti4 H4'
_symmetry_space_group_name_H-M 'C 1 2/m 1'
_symmetry_Int_Tables_number 12
_symmetry_space_group_name_Hall '-C 2y'
_cell_length_a 10.1944
_cell_length_b 3.0296
_cell_length_c 5.4733
_cell_angle_alpha 90.00
_cell_angle_beta 96.85
_cell_angle_gamma 90.00
loop_
_atom_site_label
_atom_site_type_symbol
_atom_site_fract_x
_atom_site_fract_y
_atom_site_fract_z
Zr1 Zr 0.1113 0.0000 0.3518
Ti1 Ti 0.1314 0.5000 0.8800
H1 H 0.2435 0.5000 0.2102
```

Values from the calculation:
Energy relative to the lowest polymorph listed for this composition ... 0 meV per atom
Magnetic moment ... 0.0 μB/f.u.